[1]
First-principles (PBE-GGA) data for LiZrSe3 after structural relaxation, as listed in Alexandria.

Relative energy among the computed polymorphs (eV per formula unit): 4.350
SG: Pm-3m

abc: 4.638 4.638 4.638
angles: 90.00 90.00 90.00
Positions (direct):
1 Li 0.000 0.000 0.000
2 Zr 0.500 0.500 0.500
3 Se 0.000 0.000 0.500
4 Se 0.000 0.500 0.000
5 Se 0.500 0.000 0.000



[2]
First-principles (PBE-GGA) data for LiZrSe3 after structural relaxation, as listed in Alexandria.

Relative energy among the computed polymorphs (eV per formula unit): 1.164
SG: Pm-3m

abc: 5.252 5.252 5.252
angles: 90.00 90.00 90.00
Positions (direct):
1 Li 0.000 0.000 0.000
2 Zr 0.500 0.500 0.500
3 Se 0.000 0.500 0.500
4 Se 0.500 0.000 0.500
5 Se 0.500 0.500 0.000



[3]
First-principles (PBE-GGA) data for LiZr3Se after structural relaxation, as listed in Alexandria.

Relative energy among the computed polymorphs (eV per formula unit): 0.000
SG: Pm-3m

abc: 5.041 5.041 5.041
angles: 90.00 90.00 90.00
Positions (direct):
1 Li 0.000 0.000 0.000
2 Zr 0.000 0.500 0.500
3 Zr 0.500 0.000 0.500
4 Zr 0.500 0.500 0.000
5 Se 0.500 0.500 0.500



[4]
First-principles (PBE-GGA) data for LiZr2Se after structural relaxation, as listed in Alexandria.

SG: P4/mmm

abc: 3.487 3.487 6.209
angles: 90.00 90.00 90.00
Positions (direct):
1 Li 0.000 0.000 0.000
2 Zr 0.500 0.500 0.251
3 Zr 0.500 0.500 0.749
4 Se 0.000 0.000 0.500



[5]
First-principles (PBE-GGA) data for LiZr2Se after structural relaxation, as listed in Alexandria.

SG: Imm2

abc: 3.319 4.808 9.734
angles: 90.00 90.00 90.00
Positions (direct):
1 Li 0.000 0.000 0.000
2 Li 0.500 0.500 0.500
3 Zr 0.000 0.000 0.436
4 Zr 0.000 0.500 0.208
5 Zr 0.500 0.000 0.708
6 Zr 0.500 0.500 0.936
7 Se 0.000 0.500 0.701
8 Se 0.500 0.000 0.201



[6]
First-principles (PBE-GGA) data for LiZr4Se8 after structural relaxation, as listed in Alexandria.

SG: R-3m

abc: 8.010 8.010 8.010
angles: 56.29 56.29 56.29
Positions (direct):
1 Li 0.000 0.000 0.000
2 Zr 0.000 0.000 0.500
3 Zr 0.000 0.500 0.000
4 Zr 0.500 0.000 0.000
5 Zr 0.500 0.500 0.500
6 Se 0.246 0.246 0.246
7 Se 0.249 0.747 0.747
8 Se 0.253 0.253 0.751
9 Se 0.253 0.751 0.253
10 Se 0.747 0.249 0.747
11 Se 0.747 0.747 0.249
12 Se 0.751 0.253 0.253
13 Se 0.754 0.754 0.754



[7]
First-principles (PBE-GGA) data for LiZr2Se4 after structural relaxation, as listed in Alexandria.

Relative energy among the computed polymorphs (eV per formula unit): 0.443
SG: Cmcm

abc: 6.579 6.579 13.432
angles: 90.00 90.00 146.35
Positions (direct):
1 Li 0.100 0.900 0.750
2 Li 0.900 0.100 0.250
3 Zr 0.366 0.634 0.568
4 Zr 0.366 0.634 0.932
5 Zr 0.634 0.366 0.068
6 Zr 0.634 0.366 0.432
7 Se 0.000 0.000 0.000
8 Se 0.000 0.000 0.500
9 Se 0.279 0.721 0.120
10 Se 0.279 0.721 0.380
11 Se 0.451 0.549 0.750
12 Se 0.549 0.451 0.250
13 Se 0.721 0.279 0.620
14 Se 0.721 0.279 0.880



[8]
First-principles (PBE-GGA) data for LiZr2Se2 after structural relaxation, as listed in Alexandria.

Relative energy among the computed polymorphs (eV per formula unit): 0.000
SG: P4/mbm

abc: 7.392 7.392 3.535
angles: 90.00 90.00 90.00
Positions (direct):
1 Li 0.000 0.000 0.000
2 Li 0.500 0.500 0.000
3 Zr 0.148 0.352 0.500
4 Zr 0.352 0.852 0.500
5 Zr 0.648 0.148 0.500
6 Zr 0.852 0.648 0.500
7 Se 0.149 0.649 0.000
8 Se 0.351 0.149 0.000
9 Se 0.649 0.851 0.000
10 Se 0.851 0.351 0.000



[9]
First-principles (PBE-GGA) data for Li3ZrSe4 after structural relaxation, as listed in Alexandria.

SG: Cmmm

abc: 7.837 10.897 3.822
angles: 90.00 90.00 90.00
Positions (direct):
1 Li 0.000 0.000 0.000
2 Li 0.250 0.250 0.500
3 Li 0.250 0.750 0.500
4 Li 0.500 0.500 0.000
5 Li 0.750 0.250 0.500
6 Li 0.750 0.750 0.500
7 Zr 0.000 0.500 0.000
8 Zr 0.500 0.000 0.000
9 Se 0.000 0.255 0.000
10 Se 0.000 0.745 0.000
11 Se 0.245 0.500 0.500
12 Se 0.255 0.000 0.500
13 Se 0.500 0.245 0.000
14 Se 0.500 0.755 0.000
15 Se 0.745 0.000 0.500
16 Se 0.755 0.500 0.500



[10]
First-principles (PBE-GGA) data for LiZr2Se4 after structural relaxation, as listed in Alexandria.

Relative energy among the computed polymorphs (eV per formula unit): 0.000
SG: I4_1/amd

abc: 7.871 7.871 7.871
angles: 120.04 120.04 89.92
Positions (direct):
1 Li 0.375 0.625 0.750
2 Li 0.625 0.375 0.250
3 Zr 0.000 0.000 0.000
4 Zr 0.000 0.000 0.500
5 Zr 0.000 0.500 0.000
6 Zr 0.500 0.000 0.500
7 Se 0.236 0.245 0.991
8 Se 0.245 0.236 0.491
9 Se 0.245 0.754 0.009
10 Se 0.246 0.755 0.491
11 Se 0.754 0.245 0.509
12 Se 0.755 0.246 0.991
13 Se 0.755 0.764 0.509
14 Se 0.764 0.755 0.009



[11]
First-principles (PBE-GGA) data for LiZr2Se after structural relaxation, as listed in Alexandria.

SG: I-42d

abc: 7.632 7.632 5.718
angles: 90.00 90.00 90.00
Positions (direct):
1 Li 0.000 0.000 0.000
2 Li 0.000 0.500 0.250
3 Li 0.500 0.000 0.750
4 Li 0.500 0.500 0.500
5 Zr 0.220 0.250 0.625
6 Zr 0.250 0.720 0.875
7 Zr 0.250 0.780 0.375
8 Zr 0.280 0.250 0.125
9 Zr 0.720 0.750 0.125
10 Zr 0.750 0.220 0.375
11 Zr 0.750 0.280 0.875
12 Zr 0.780 0.750 0.625
13 Se 0.000 0.000 0.500
14 Se 0.000 0.500 0.750
15 Se 0.500 0.000 0.250
16 Se 0.500 0.500 0.000



[12]
First-principles (PBE-GGA) data for LiZr2Se after structural relaxation, as listed in Alexandria.

SG: I-4m2

abc: 3.971 3.971 9.631
angles: 90.00 90.00 90.00
Positions (direct):
1 Li 0.000 0.000 0.000
2 Li 0.500 0.500 0.500
3 Zr 0.000 0.000 0.500
4 Zr 0.000 0.500 0.250
5 Zr 0.500 0.000 0.750
6 Zr 0.500 0.500 0.000
7 Se 0.000 0.500 0.750
8 Se 0.500 0.000 0.250



no.,ΔE_f (raw) (meV per atom),final energy (eV per atom)
1,-152,-4.3353
2,-789,-4.9724
3,64,-6.1442
4,-401,-6.0251
5,-365,-5.9886
6,-1355,-6.2771
7,-1268,-5.9744
8,-898,-6.0938
9,-1135,-4.6630
10,-1331,-6.0378
11,-203,-5.8270
12,-264,-5.8875